(1)
# Li2Zn2InGePt2 GGA-PBE relaxed
data_Li2Zn2InGePt2
_chemical_formula_sum 'Li2 Zn2 In1 Ge1 Pt2'
_cell_length_a 4.3955
_cell_length_b 4.3955
_cell_length_c 6.3196
_cell_angle_alpha 90.00
_cell_angle_beta 90.00
_cell_angle_gamma 90.00
_space_group_name_H-M_alt 'P 1'
_space_group_IT_number 1
loop_
_space_group_symop_operation_xyz
'x,y,z'
loop_
_atom_site_label
_atom_site_fract_x
_atom_site_fract_y
_atom_site_fract_z
Li1 0.0000 0.5000 0.2329
Li2 0.5000 0.0000 0.7671
Zn1 0.0000 0.0000 0.0000
Zn2 0.5000 0.5000 0.5000
In1 0.0000 0.0000 0.5000
Ge1 0.5000 0.5000 0.0000
Pt1 0.0000 0.5000 0.7722
Pt2 0.5000 0.0000 0.2278
# E   -3.742 eV per atom
# Space group   P-4m2

(2)
# Pr2In GGA-PBE relaxed
data_Pr2In
_chemical_formula_sum 'Pr6 In3'
_cell_length_a 9.3002
_cell_length_b 9.3002
_cell_length_c 3.8230
_cell_angle_alpha 90.00
_cell_angle_beta 90.00
_cell_angle_gamma 120.00
_space_group_name_H-M_alt 'P 1'
_space_group_IT_number 1
loop_
_space_group_symop_operation_xyz
'x,y,z'
loop_
_atom_site_label
_atom_site_fract_x
_atom_site_fract_y
_atom_site_fract_z
Pr1 0.0000 0.3827 0.0000
Pr2 0.0000 0.7113 0.5000
Pr3 0.2887 0.2887 0.5000
Pr4 0.3827 0.0000 0.0000
Pr5 0.6173 0.6173 0.0000
Pr6 0.7113 0.0000 0.5000
In1 0.0000 0.0000 0.0000
In2 0.3333 0.6667 0.5000
In3 0.6667 0.3333 0.5000
# E   -4.425 eV per atom
# Space group   P-62m

(3)
# Pr3TcC3 GGA-PBE relaxed
data_Pr3TcC3
_chemical_formula_sum 'Pr6 Tc2 C6'
_cell_length_a 7.0515
_cell_length_b 7.0515
_cell_length_c 5.4482
_cell_angle_alpha 90.00
_cell_angle_beta 90.00
_cell_angle_gamma 101.17
_space_group_name_H-M_alt 'P 1'
_space_group_IT_number 1
loop_
_space_group_symop_operation_xyz
'x,y,z'
loop_
_atom_site_label
_atom_site_fract_x
_atom_site_fract_y
_atom_site_fract_z
Pr1 0.1085 0.8915 0.7500
Pr2 0.1725 0.4122 0.7500
Pr3 0.4122 0.1725 0.2500
Pr4 0.5878 0.8275 0.7500
Pr5 0.8275 0.5878 0.2500
Pr6 0.8915 0.1085 0.2500
Tc1 0.3039 0.6961 0.2500
Tc2 0.6961 0.3039 0.7500
C1 0.1254 0.8746 0.2500
C2 0.1770 0.4291 0.2500
C3 0.4291 0.1770 0.7500
C4 0.5709 0.8230 0.2500
C5 0.8230 0.5709 0.7500
C6 0.8746 0.1254 0.7500
# E   -7.633 eV per atom
# Space group   Cmcm

(4)
# ScPaCo GGA-PBE relaxed
data_ScPaCo
_chemical_formula_sum 'Sc1 Pa1 Co1'
_cell_length_a 4.4886
_cell_length_b 4.4886
_cell_length_c 4.4886
_cell_angle_alpha 60.00
_cell_angle_beta 60.00
_cell_angle_gamma 60.00
_space_group_name_H-M_alt 'P 1'
_space_group_IT_number 1
loop_
_space_group_symop_operation_xyz
'x,y,z'
loop_
_atom_site_label
_atom_site_fract_x
_atom_site_fract_y
_atom_site_fract_z
Sc1 0.0000 0.0000 0.0000
Pa1 0.5000 0.5000 0.5000
Co1 0.7500 0.7500 0.7500
# Space group   F-43m
# Energy relative to the elements   55.8 meV/atom
# Energy relative to the lowest polymorph listed for this composition   0 meV/atom

no.,mass density (Mg/m³)
1,9.824
2,6.900
3,6.957
4,8.697